No. 1
# Ho3Re2Sb3N12 PBE optimized geometry
# - Final energy: -617.07 eV/cell
# - Magnetization: 0.1 μB/cell
data_Ho3Re2Sb3N12
_chemical_formula_sum 'Ho12 Re8 Sb12 N48'
_symmetry_space_group_name_H-M 'P 1'
_symmetry_Int_Tables_number 1
_symmetry_space_group_name_Hall 'P 1'
_cell_length_a 11.0943
_cell_length_b 11.0943
_cell_length_c 11.0943
_cell_angle_alpha 109.47
_cell_angle_beta 109.47
_cell_angle_gamma 109.47
loop_
_atom_site_label
_atom_site_type_symbol
_atom_site_fract_x
_atom_site_fract_y
_atom_site_fract_z
Ho1 Ho 0.3750 0.7500 0.1250
Ho2 Ho 0.2500 0.3750 0.1250
Ho3 Ho 0.3750 0.1250 0.2500
Ho4 Ho 0.8750 0.6250 0.2500
Ho5 Ho 0.7500 0.1250 0.3750
Ho6 Ho 0.1250 0.2500 0.3750
Ho7 Ho 0.8750 0.7500 0.6250
Ho8 Ho 0.2500 0.8750 0.6250
Ho9 Ho 0.1250 0.3750 0.7500
Ho10 Ho 0.6250 0.8750 0.7500
Ho11 Ho 0.6250 0.2500 0.8750
Ho12 Ho 0.7500 0.6250 0.8750
N1 N 0.3298 0.9132 0.0308
N2 N 0.2010 0.1176 0.0308
N3 N 0.8824 0.4132 0.0834
N4 N 0.7010 0.6702 0.0834
N5 N 0.6176 0.4166 0.0868
N6 N 0.9692 0.6702 0.0868
N7 N 0.0308 0.2010 0.1176
N8 N 0.5868 0.9166 0.1176
N9 N 0.2010 0.5834 0.1702
N10 N 0.4692 0.5868 0.1702
N11 N 0.5834 0.1702 0.2010
N12 N 0.1176 0.0308 0.2010
N13 N 0.3298 0.9166 0.2990
N14 N 0.4692 0.3824 0.2990
N15 N 0.9132 0.0308 0.3298
N16 N 0.9166 0.2990 0.3298
N17 N 0.2990 0.4692 0.3824
N18 N 0.5834 0.9132 0.3824
N19 N 0.8298 0.5308 0.4132
N20 N 0.0834 0.8824 0.4132
N21 N 0.0868 0.6176 0.4166
N22 N 0.8298 0.7990 0.4166
N23 N 0.5868 0.1702 0.4692
N24 N 0.3824 0.2990 0.4692
N25 N 0.6176 0.7010 0.5308
N26 N 0.4132 0.8298 0.5308
N27 N 0.1702 0.2010 0.5834
N28 N 0.9132 0.3824 0.5834
N29 N 0.9166 0.1176 0.5868
N30 N 0.1702 0.4692 0.5868
N31 N 0.4166 0.0868 0.6176
N32 N 0.7010 0.5308 0.6176
N33 N 0.0834 0.7010 0.6702
N34 N 0.0868 0.9692 0.6702
N35 N 0.5308 0.6176 0.7010
N36 N 0.6702 0.0834 0.7010
N37 N 0.4166 0.8298 0.7990
N38 N 0.8824 0.9692 0.7990
N39 N 0.5308 0.4132 0.8298
N40 N 0.7990 0.4166 0.8298
N41 N 0.4132 0.0834 0.8824
N42 N 0.9692 0.7990 0.8824
N43 N 0.0308 0.3298 0.9132
N44 N 0.3824 0.5834 0.9132
N45 N 0.2990 0.3298 0.9166
N46 N 0.1176 0.5868 0.9166
N47 N 0.6702 0.0868 0.9692
N48 N 0.7990 0.8824 0.9692
Re1 Re 0.0000 0.0000 0.0000
Re2 Re 0.5000 0.0000 0.0000
Re3 Re 0.0000 0.5000 0.0000
Re4 Re 0.5000 0.5000 0.0000
Re5 Re 0.0000 0.0000 0.5000
Re6 Re 0.5000 0.0000 0.5000
Re7 Re 0.0000 0.5000 0.5000
Re8 Re 0.5000 0.5000 0.5000
Sb1 Sb 0.8750 0.2500 0.1250
Sb2 Sb 0.7500 0.8750 0.1250
Sb3 Sb 0.6250 0.3750 0.2500
Sb4 Sb 0.1250 0.8750 0.2500
Sb5 Sb 0.2500 0.6250 0.3750
Sb6 Sb 0.6250 0.7500 0.3750
Sb7 Sb 0.3750 0.2500 0.6250
Sb8 Sb 0.7500 0.3750 0.6250
Sb9 Sb 0.8750 0.1250 0.7500
Sb10 Sb 0.3750 0.6250 0.7500
Sb11 Sb 0.2500 0.1250 0.8750
Sb12 Sb 0.1250 0.7500 0.8750

=====

No. 2
# HoTmFe2B2C2 PBE optimized geometry
# - Final energy: -60.63 eV/cell
# - Magnetization: 3.5 μB/cell
data_HoTmFe2B2C2
_chemical_formula_sum 'Ho1 Tm1 Fe2 B2 C2'
_symmetry_space_group_name_H-M 'P 1'
_symmetry_Int_Tables_number 1
_symmetry_space_group_name_Hall 'P 1'
_cell_length_a 3.4943
_cell_length_b 3.4943
_cell_length_c 7.8749
_cell_angle_alpha 90.00
_cell_angle_beta 90.00
_cell_angle_gamma 90.00
loop_
_atom_site_label
_atom_site_type_symbol
_atom_site_fract_x
_atom_site_fract_y
_atom_site_fract_z
B1 B 0.5000 0.5000 0.1673
B2 B 0.0000 0.0000 0.8332
C1 C 0.5000 0.5000 0.3564
C2 C 0.0000 0.0000 0.6444
Fe1 Fe 0.5000 0.0000 0.9997
Fe2 Fe 0.0000 0.5000 0.9997
Ho1 Ho 0.0000 0.0000 0.3391
Tm1 Tm 0.5000 0.5000 0.6604

=====

No. 3
# CsTaI2Cl4 PBE optimized geometry
# - Final energy: -66.44 eV/cell
# - Magnetization: 0.0 μB/cell
data_CsTaI2Cl4
_chemical_formula_sum 'Cs2 Ta2 I4 Cl8'
_symmetry_space_group_name_H-M 'P 1'
_symmetry_Int_Tables_number 1
_symmetry_space_group_name_Hall 'P 1'
_cell_length_a 10.9620
_cell_length_b 10.9620
_cell_length_c 6.5810
_cell_angle_alpha 103.01
_cell_angle_beta 103.01
_cell_angle_gamma 75.78
loop_
_atom_site_label
_atom_site_type_symbol
_atom_site_fract_x
_atom_site_fract_y
_atom_site_fract_z
Cl1 Cl 0.9737 0.7023 0.2273
Cl2 Cl 0.7023 0.9737 0.2273
Cl3 Cl 0.4032 0.1211 0.2850
Cl4 Cl 0.1211 0.4032 0.2850
Cl5 Cl 0.8789 0.5968 0.7150
Cl6 Cl 0.5968 0.8789 0.7150
Cl7 Cl 0.2977 0.0263 0.7727
Cl8 Cl 0.0263 0.2977 0.7727
Cs1 Cs 0.7198 0.2802 0.5000
Cs2 Cs 0.2802 0.7198 0.5000
I1 I 0.7747 0.4637 0.0871
I2 I 0.4637 0.7747 0.0871
I3 I 0.5363 0.2253 0.9129
I4 I 0.2253 0.5363 0.9129
Ta1 Ta 0.5000 0.0000 0.0000
Ta2 Ta 0.0000 0.5000 0.0000

=====

No. 4
# SrMg2CdAu PBE optimized geometry
# - Final energy: -11.11 eV/cell
data_SrMg2CdAu
_chemical_formula_sum 'Sr1 Mg2 Cd1 Au1'
_symmetry_space_group_name_H-M 'P 1'
_symmetry_Int_Tables_number 1
_symmetry_space_group_name_Hall 'P 1'
_cell_length_a 7.1511
_cell_length_b 7.1511
_cell_length_c 7.1511
_cell_angle_alpha 143.45
_cell_angle_beta 143.45
_cell_angle_gamma 52.65
loop_
_atom_site_label
_atom_site_type_symbol
_atom_site_fract_x
_atom_site_fract_y
_atom_site_fract_z
Au1 Au 0.3848 0.3848 0.0000
Cd1 Cd 0.6072 0.6072 0.0000
Mg1 Mg 0.7576 0.2576 0.5000
Mg2 Mg 0.2576 0.7576 0.5000
Sr1 Sr 0.9928 0.9928 0.0000

=====

No. 5
# ErHfU PBE optimized geometry
# - ΔE to the lowest computed polymorph: 0 meV/atom
# - Energy relative to the elements: 1.16 eV/atom
# - Magnetization: 0.9 μB/cell
data_ErHfU
_chemical_formula_sum 'Er1 Hf1 U1'
_symmetry_space_group_name_H-M 'P 1'
_symmetry_Int_Tables_number 1
_symmetry_space_group_name_Hall 'P 1'
_cell_length_a 4.8986
_cell_length_b 4.8986
_cell_length_c 4.8986
_cell_angle_alpha 60.00
_cell_angle_beta 60.00
_cell_angle_gamma 60.00
loop_
_atom_site_label
_atom_site_type_symbol
_atom_site_fract_x
_atom_site_fract_y
_atom_site_fract_z
Er1 Er 0.2500 0.2500 0.2500
Hf1 Hf 0.0000 0.0000 0.0000
U1 U 0.7500 0.7500 0.7500

=====

No. 6
# Li2Zr2AlTlPd2 PBE optimized geometry
# - Final energy: -41.56 eV/cell
# - Magnetization: 0.0 μB/cell
data_Li2Zr2AlTlPd2
_chemical_formula_sum 'Li2 Zr2 Al1 Tl1 Pd2'
_symmetry_space_group_name_H-M 'P 1'
_symmetry_Int_Tables_number 1
_symmetry_space_group_name_Hall 'P 1'
_cell_length_a 4.5675
_cell_length_b 4.5675
_cell_length_c 6.4943
_cell_angle_alpha 90.00
_cell_angle_beta 90.00
_cell_angle_gamma 90.00
loop_
_atom_site_label
_atom_site_type_symbol
_atom_site_fract_x
_atom_site_fract_y
_atom_site_fract_z
Al1 Al 0.5000 0.5000 0.5000
Li1 Li 0.5000 0.0000 0.2583
Li2 Li 0.0000 0.5000 0.7417
Pd1 Pd 0.0000 0.5000 0.2697
Pd2 Pd 0.5000 0.0000 0.7303
Tl1 Tl 0.0000 0.0000 0.0000
Zr1 Zr 0.5000 0.5000 0.0000
Zr2 Zr 0.0000 0.0000 0.5000

=====

No. 7
# LiZr PBE optimized geometry
# - ΔE to the lowest computed polymorph: 806 meV/atom
# - Magnetization: 0.0 μB/cell
data_LiZr
_chemical_formula_sum 'Li2 Zr2'
_symmetry_space_group_name_H-M 'P 1'
_symmetry_Int_Tables_number 1
_symmetry_space_group_name_Hall 'P 1'
_cell_length_a 4.1070
_cell_length_b 4.1070
_cell_length_c 5.7816
_cell_angle_alpha 90.00
_cell_angle_beta 90.00
_cell_angle_gamma 120.00
loop_
_atom_site_label
_atom_site_type_symbol
_atom_site_fract_x
_atom_site_fract_y
_atom_site_fract_z
Li1 Li 0.6667 0.3333 0.2500
Li2 Li 0.3333 0.6667 0.7500
Zr1 Zr 0.0000 0.0000 0.0000
Zr2 Zr 0.0000 0.0000 0.5000

=====

No. 8
# Cu2Ag3 PBE optimized geometry
# - ΔE to the lowest computed polymorph: 63 meV/atom
# - Energy relative to the elements: 0.10 eV/atom
data_Cu2Ag3
_chemical_formula_sum 'Cu4 Ag6'
_symmetry_space_group_name_H-M 'P 1'
_symmetry_Int_Tables_number 1
_symmetry_space_group_name_Hall 'P 1'
_cell_length_a 11.5854
_cell_length_b 11.5854
_cell_length_c 4.7761
_cell_angle_alpha 97.20
_cell_angle_beta 97.20
_cell_angle_gamma 14.22
loop_
_atom_site_label
_atom_site_type_symbol
_atom_site_fract_x
_atom_site_fract_y
_atom_site_fract_z
Ag1 Ag 0.5975 0.5975 0.1687
Ag2 Ag 0.8950 0.8950 0.2938
Ag3 Ag 0.1986 0.1986 0.3953
Ag4 Ag 0.5062 0.5062 0.5139
Ag5 Ag 0.7992 0.7992 0.6218
Ag6 Ag 0.4049 0.4049 0.8065
Cu1 Cu 0.0006 0.0006 0.0052
Cu2 Cu 0.2923 0.2923 0.1016
Cu3 Cu 0.1065 0.1065 0.6950
Cu4 Cu 0.6993 0.6993 0.8983

=====

No. 9
# Na4InHg2Pb PBE optimized geometry
# - Final energy: -13.82 eV/cell
data_Na4InHg2Pb
_chemical_formula_sum 'Na4 In1 Hg2 Pb1'
_symmetry_space_group_name_H-M 'P 1'
_symmetry_Int_Tables_number 1
_symmetry_space_group_name_Hall 'P 1'
_cell_length_a 5.1901
_cell_length_b 5.1901
_cell_length_c 7.3670
_cell_angle_alpha 90.00
_cell_angle_beta 90.00
_cell_angle_gamma 90.00
loop_
_atom_site_label
_atom_site_type_symbol
_atom_site_fract_x
_atom_site_fract_y
_atom_site_fract_z
Hg1 Hg 0.0000 0.5000 0.2409
Hg2 Hg 0.5000 0.0000 0.7591
In1 In 0.0000 0.0000 0.0000
Na1 Na 0.5000 0.5000 0.0000
Na2 Na 0.5000 0.0000 0.2480
Na3 Na 0.0000 0.0000 0.5000
Na4 Na 0.0000 0.5000 0.7520
Pb1 Pb 0.5000 0.5000 0.5000

=====

No. 10
# ThOs PBE optimized geometry
# - Energy relative to the elements: 0.58 eV/atom
# - Magnetization: 0.0 μB/cell
data_ThOs
_chemical_formula_sum 'Th2 Os2'
_symmetry_space_group_name_H-M 'P 1'
_symmetry_Int_Tables_number 1
_symmetry_space_group_name_Hall 'P 1'
_cell_length_a 4.4260
_cell_length_b 4.4260
_cell_length_c 7.1759
_cell_angle_alpha 90.00
_cell_angle_beta 90.00
_cell_angle_gamma 120.00
loop_
_atom_site_label
_atom_site_type_symbol
_atom_site_fract_x
_atom_site_fract_y
_atom_site_fract_z
Os1 Os 0.0000 0.0000 0.0009
Os2 Os 0.3333 0.6667 0.5009
Th1 Th 0.0000 0.0000 0.3741
Th2 Th 0.3333 0.6667 0.8741

=====

No. 11
# SmSbAsO PBE optimized geometry
# - ΔE to the lowest computed polymorph: 0 meV/atom
# - Magnetization: 0.0 μB/cell
data_SmSbAsO
_chemical_formula_sum 'Sm2 Sb2 As2 O2'
_symmetry_space_group_name_H-M 'P 1'
_symmetry_Int_Tables_number 1
_symmetry_space_group_name_Hall 'P 1'
_cell_length_a 4.1081
_cell_length_b 4.1081
_cell_length_c 10.4732
_cell_angle_alpha 90.00
_cell_angle_beta 90.00
_cell_angle_gamma 90.00
loop_
_atom_site_label
_atom_site_type_symbol
_atom_site_fract_x
_atom_site_fract_y
_atom_site_fract_z
As1 As 0.0000 0.5000 0.2726
As2 As 0.5000 0.0000 0.7274
O1 O 0.0000 0.0000 0.0000
O2 O 0.5000 0.5000 0.0000
Sb1 Sb 0.0000 0.0000 0.5000
Sb2 Sb 0.5000 0.5000 0.5000
Sm1 Sm 0.5000 0.0000 0.1047
Sm2 Sm 0.0000 0.5000 0.8953

=====

No. 12
# La2GdIn3AgPd2 PBE optimized geometry
# - Final energy: -42.14 eV/cell
# - Magnetization: 0.0 μB/cell
data_La2GdIn3AgPd2
_chemical_formula_sum 'La2 Gd1 In3 Ag1 Pd2'
_symmetry_space_group_name_H-M 'P 1'
_symmetry_Int_Tables_number 1
_symmetry_space_group_name_Hall 'P 1'
_cell_length_a 4.0377
_cell_length_b 7.8896
_cell_length_c 7.8896
_cell_angle_alpha 120.07
_cell_angle_beta 90.00
_cell_angle_gamma 90.00
loop_
_atom_site_label
_atom_site_type_symbol
_atom_site_fract_x
_atom_site_fract_y
_atom_site_fract_z
Ag1 Ag 0.5000 0.0010 0.0010
Gd1 Gd 0.5000 0.4118 0.4118
In1 In 0.0000 0.2603 0.0065
In2 In 0.0000 0.0065 0.2603
In3 In 0.0000 0.7349 0.7349
La1 La 0.5000 0.5861 0.0005
La2 La 0.5000 0.0005 0.5861
Pd1 Pd 0.0000 0.6641 0.3349
Pd2 Pd 0.0000 0.3349 0.6641